Compound: Tb5Pm2Tm
Source: Alexandria
Functional: PBE
Structure: relaxed

Summary:
The magnetic moment is 0.000 μB/atom. The value obtained for the raw total energy is -4.46 eV/atom. The crystal system is monoclinic. The excess energy over the best structure of this formula in the dataset comes out at 1.320 eV/f.u. Its energy relative to the elements is 1.45 eV per formula unit. The calculated volume comes out at 527.34 Å³/cell.

a b c (Å): 5.897 10.807 8.647
angles (deg): 90.00 106.87 90.00
Space group P2_1/m (No. 11)
Inequivalent atoms, fractional coordinates:
Tb (0.206, 0.087, 0.373) x4
Tb (0.250, 0.750, 0.445) x2
Tb (0.293, 0.084, 0.766) x4
Pm (0.159, 0.608, 0.049) x4
Tm (0.454, 0.250, 0.129) x2